--- w ---
Density functional theory data (PBE-GGA) for a geometry-optimized Ba2OsSeI structure.

The density of states at the Fermi level comes out at 0.566 states/eV/atom.

The space group is P4/mmm (No. 123) and the conventional cell measures 6.127, 6.127 and 4.953 Å, with angles of 90.00, 90.00 and 90.00 degrees. The asymmetric unit holds Ba at (0.000, 0.500, 0.000), Os at (0.000, 0.000, 0.000), Se at (0.500, 0.500, 0.500) and I at (0.000, 0.000, 0.500).

---

--- x ---
Density functional theory data (PBE-GGA) for a geometry-optimized Ba2OsSeI structure.

The density of states at the Fermi level comes out at 0.341 states/eV/atom.

The space group is P4/mmm (No. 123) and the conventional cell measures 6.256, 6.256 and 4.669 Å, with angles of 90.00, 90.00 and 90.00 degrees. The asymmetric unit holds Ba at (0.000, 0.500, 0.000), Os at (0.000, 0.000, 0.000), Se at (0.000, 0.000, 0.500) and I at (0.500, 0.500, 0.500).

---

Most stable pick: x. Distance to second place: 35.4 kJ/mol of atoms.

---

--- w ---
Density functional theory data (PBE-GGA) for a geometry-optimized BaTe2OsI structure.

The density of states at the Fermi level comes out at 1.677 states/eV/atom.

The space group is P4/mmm (No. 123) and the conventional cell measures 6.733, 6.733 and 6.585 Å, with angles of 90.00, 90.00 and 90.00 degrees. The asymmetric unit holds Ba at (0.000, 0.000, 0.000), Te at (0.000, 0.500, 0.000), Os at (0.500, 0.500, 0.500) and I at (0.000, 0.000, 0.500).

---

--- x ---
Density functional theory data (PBE-GGA) for a geometry-optimized BaTe2OsI structure.

The density of states at the Fermi level comes out at 1.234 states/eV/atom.

The space group is P4/mmm (No. 123) and the conventional cell measures 5.334, 5.334 and 5.699 Å, with angles of 90.00, 90.00 and 90.00 degrees. The asymmetric unit holds Ba at (0.000, 0.000, 0.000), Te at (0.000, 0.500, 0.500), Os at (0.500, 0.500, 0.500) and I at (0.500, 0.500, 0.000).

---

Most stable pick: x. Distance to second place: 148.5 kJ/mol of atoms.

---

--- w ---
Density functional theory data (PBE-GGA) for a geometry-optimized BaTeOsI2 structure.

The density of states at the Fermi level comes out at 0.932 states/eV/atom.

The space group is P4/mmm (No. 123) and the conventional cell measures 6.638, 6.638 and 6.912 Å, with angles of 90.00, 90.00 and 90.00 degrees. The asymmetric unit holds Ba at (0.000, 0.000, 0.000), Te at (0.000, 0.000, 0.500), Os at (0.500, 0.500, 0.500) and I at (0.000, 0.500, 0.000).

---

--- x ---
Density functional theory data (PBE-GGA) for a geometry-optimized BaTeOsI2 structure.

The density of states at the Fermi level comes out at 0.684 states/eV/atom.

The space group is P4/mmm (No. 123) and the conventional cell measures 5.626, 5.626 and 5.214 Å, with angles of 90.00, 90.00 and 90.00 degrees. The asymmetric unit holds Ba at (0.000, 0.000, 0.000), Te at (0.500, 0.500, 0.000), Os at (0.500, 0.500, 0.500) and I at (0.000, 0.500, 0.500).

---

Most stable pick: x. Distance to second place: 117.0 kJ/mol of atoms.

---

--- w ---
Density functional theory data (PBE-GGA) for a geometry-optimized Ba2P2I structure.

The density of states at the Fermi level comes out at 0.282 states/eV/atom.

The space group is I4/mmm (No. 139) and the conventional cell measures 4.325, 4.325 and 18.371 Å, with angles of 90.00, 90.00 and 90.00 degrees. The asymmetric unit holds Ba at (0.000, 0.000, 0.128), P at (0.000, 0.500, 0.250) and I at (0.000, 0.000, 0.500).

---

--- x ---
Density functional theory data (PBE-GGA) for a geometry-optimized Ba2P2I structure.

The density of states at the Fermi level comes out at 0.590 states/eV/atom.

The space group is P4/mbm (No. 127) and the conventional cell measures 8.943, 8.943 and 4.097 Å, with angles of 90.00, 90.00 and 90.00 degrees. The asymmetric unit holds Ba at (0.188, 0.312, 0.000), P at (0.085, 0.585, 0.500) and I at (0.000, 0.000, 0.500).

---

Most stable pick: x. Distance to second place: 21.2 kJ/mol of atoms.

---

--- w ---
Density functional theory data (PBE-GGA) for a geometry-optimized Ba2P2I structure.

The density of states at the Fermi level comes out at 0.671 states/eV/atom.

The space group is C2/m (No. 12) and the conventional cell measures 8.379, 5.518 and 8.726 Å, with angles of 90.00, 99.60 and 90.00 degrees. The asymmetric unit holds Ba at (0.188, 0.000, 0.280), P at (0.000, 0.306, 0.500) and I at (0.000, 0.500, 0.000).

---

--- x ---
Density functional theory data (PBE-GGA) for a geometry-optimized Ba2P2I structure.

The density of states at the Fermi level comes out at 0.441 states/eV/atom.

The space group is C2/c (No. 15) and the conventional cell measures 18.612, 4.983 and 8.573 Å, with angles of 90.00, 108.18 and 90.00 degrees. The asymmetric unit holds Ba at (0.149, 0.117, 0.151), P at (0.214, 0.415, 0.499) and I at (0.000, 0.235, 0.750).

---

Most stable pick: x. Distance to second place: 7.3 kJ/mol of atoms.

---

--- w ---
Density functional theory data (PBE-GGA) for a geometry-optimized BaP2I structure.

The density of states at the Fermi level comes out at 0.867 states/eV/atom.

The space group is I-42d (No. 122) and the conventional cell measures 6.245, 6.245 and 15.736 Å, with angles of 90.00, 90.00 and 90.00 degrees. The asymmetric unit holds Ba at (0.000, 0.000, 0.000), P at (0.174, 0.250, 0.625) and I at (0.000, 0.000, 0.500).

---

--- x ---
Density functional theory data (PBE-GGA) for a geometry-optimized BaP2I structure.

The density of states at the Fermi level comes out at 1.348 states/eV/atom.

The space group is Fm-3m (No. 225) and the conventional cell measures 7.630, 7.630 and 7.630 Å, with angles of 90.00, 90.00 and 90.00 degrees. The asymmetric unit holds Ba at (0.000, 0.000, 0.000), P at (0.250, 0.250, 0.250) and I at (0.000, 0.000, 0.500).

---

Most stable pick: w. Distance to second place: 2.3 kJ/mol of atoms.

---

--- w ---
Density functional theory data (PBE-GGA) for a geometry-optimized BaSbPI2 structure.

The density of states at the Fermi level comes out at 0.682 states/eV/atom.

The space group is P4/mmm (No. 123) and the conventional cell measures 6.736, 6.736 and 7.748 Å, with angles of 90.00, 90.00 and 90.00 degrees. The asymmetric unit holds Ba at (0.000, 0.000, 0.000), Sb at (0.000, 0.000, 0.500), P at (0.500, 0.500, 0.500) and I at (0.000, 0.500, 0.000).

---

--- x ---
Density functional theory data (PBE-GGA) for a geometry-optimized BaSbPI2 structure.

The density of states at the Fermi level comes out at 0.659 states/eV/atom.

The space group is P4/mmm (No. 123) and the conventional cell measures 5.569, 5.569 and 5.579 Å, with angles of 90.00, 90.00 and 90.00 degrees. The asymmetric unit holds Ba at (0.000, 0.000, 0.000), Sb at (0.500, 0.500, 0.000), P at (0.500, 0.500, 0.500) and I at (0.000, 0.500, 0.500).

---

Most stable pick: x. Distance to second place: 68.9 kJ/mol of atoms.

---

--- w ---
Density functional theory data (PBE-GGA) for a geometry-optimized BaSb2PI structure.

The density of states at the Fermi level comes out at 0.341 states/eV/atom.

The space group is P4/mmm (No. 123) and the conventional cell measures 7.236, 7.236 and 6.757 Å, with angles of 90.00, 90.00 and 90.00 degrees. The asymmetric unit holds Ba at (0.000, 0.000, 0.000), Sb at (0.000, 0.500, 0.000), P at (0.500, 0.500, 0.500) and I at (0.000, 0.000, 0.500).

---

--- x ---
Density functional theory data (PBE-GGA) for a geometry-optimized BaSb2PI structure.

The density of states at the Fermi level comes out at 0.810 states/eV/atom.

The space group is P4/mmm (No. 123) and the conventional cell measures 5.249, 5.249 and 6.104 Å, with angles of 90.00, 90.00 and 90.00 degrees. The asymmetric unit holds Ba at (0.000, 0.000, 0.000), Sb at (0.000, 0.500, 0.500), P at (0.500, 0.500, 0.500) and I at (0.500, 0.500, 0.000).

---

Most stable pick: x. Distance to second place: 112.8 kJ/mol of atoms.

---

--- w ---
Density functional theory data (PBE-GGA) for a geometry-optimized BaTePI2 structure.

The density of states at the Fermi level comes out at 0.085 states/eV/atom.

The space group is P4/mmm (No. 123) and the conventional cell measures 5.508, 5.508 and 5.752 Å, with angles of 90.00, 90.00 and 90.00 degrees. The asymmetric unit holds Ba at (0.000, 0.000, 0.000), Te at (0.500, 0.500, 0.000), P at (0.500, 0.500, 0.500) and I at (0.000, 0.500, 0.500).

---

--- x ---
Density functional theory data (PBE-GGA) for a geometry-optimized BaTePI2 structure.

The density of states at the Fermi level comes out at 0.678 states/eV/atom.

The space group is P4/mmm (No. 123) and the conventional cell measures 6.696, 6.696 and 7.208 Å, with angles of 90.00, 90.00 and 90.00 degrees. The asymmetric unit holds Ba at (0.000, 0.000, 0.000), Te at (0.000, 0.000, 0.500), P at (0.500, 0.500, 0.500) and I at (0.000, 0.500, 0.000).

---

Most stable pick: w. Distance to second place: 74.6 kJ/mol of atoms.

---

--- w ---
Density functional theory data (PBE-GGA) for a geometry-optimized BaPbI2 structure.

The density of states at the Fermi level comes out at 0.667 states/eV/atom.

The space group is R-3m (No. 166, hexagonal axes) and the conventional cell measures 5.0264, 5.0264 and 30.6364 Å, with angles of 90.00, 90.00 and 120.00 degrees. The asymmetric unit holds Ba at (0.0000, 0.0000, 0.0000), Pb at (0.0000, 0.0000, 0.5000) and I at (0.0000, 0.0000, 0.1133).

---

--- x ---
Density functional theory data (PBE-GGA) for a geometry-optimized BaPbI2 structure.

The density of states at the Fermi level comes out at 0.699 states/eV/atom.

The space group is I-42d (No. 122) and the conventional cell measures 5.855, 5.855 and 21.967 Å, with angles of 90.00, 90.00 and 90.00 degrees. The asymmetric unit holds Ba at (0.000, 0.000, 0.000), Pb at (0.000, 0.000, 0.500) and I at (0.236, 0.250, 0.625).

---

--- y ---
Density functional theory data (PBE-GGA) for a geometry-optimized BaPbI2 structure.

The density of states at the Fermi level comes out at 0.805 states/eV/atom.

The space group is Fm-3m (No. 225) and the conventional cell measures 8.548, 8.548 and 8.548 Å, with angles of 90.00, 90.00 and 90.00 degrees. The asymmetric unit holds Ba at (0.000, 0.000, 0.000), Pb at (0.000, 0.000, 0.500) and I at (0.250, 0.250, 0.250).

---

Most stable pick: y. Distance to second place: 3.7 kJ/mol of atoms.

---

--- w ---
Density functional theory data (PBE-GGA) for a geometry-optimized BaPb3I structure.

The density of states at the Fermi level comes out at 1.213 states/eV/atom.

The space group is Pm-3m (No. 221) and the conventional cell measures 6.075, 6.075 and 6.075 Å, with angles of 90.00, 90.00 and 90.00 degrees. The asymmetric unit holds Ba at (0.000, 0.000, 0.000), Pb at (0.000, 0.500, 0.500) and I at (0.500, 0.500, 0.500).

---

--- x ---
Density functional theory data (PBE-GGA) for a geometry-optimized BaPb3I structure.

The density of states at the Fermi level comes out at 1.188 states/eV/atom.

The space group is Pm-3m (No. 221) and the conventional cell measures 6.531, 6.531 and 6.531 Å, with angles of 90.00, 90.00 and 90.00 degrees. The asymmetric unit holds Ba at (0.000, 0.000, 0.000), Pb at (0.000, 0.000, 0.500) and I at (0.500, 0.500, 0.500).

---

Most stable pick: w. Distance to second place: 52.9 kJ/mol of atoms.

---

--- w ---
Density functional theory data (PBE-GGA) for a geometry-optimized BaSbPbI2 structure.

The density of states at the Fermi level comes out at 0.596 states/eV/atom.

The space group is P4/mmm (No. 123) and the conventional cell measures 6.463, 6.463 and 6.906 Å, with angles of 90.00, 90.00 and 90.00 degrees. The asymmetric unit holds Ba at (0.000, 0.000, 0.000), Sb at (0.000, 0.000, 0.500), Pb at (0.500, 0.500, 0.500) and I at (0.000, 0.500, 0.000).

---

--- x ---
Density functional theory data (PBE-GGA) for a geometry-optimized BaSbPbI2 structure.

The density of states at the Fermi level comes out at 1.085 states/eV/atom.

The space group is P4/mmm (No. 123) and the conventional cell measures 6.148, 6.148 and 6.114 Å, with angles of 90.00, 90.00 and 90.00 degrees. The asymmetric unit holds Ba at (0.000, 0.000, 0.000), Sb at (0.500, 0.500, 0.000), Pb at (0.500, 0.500, 0.500) and I at (0.000, 0.500, 0.500).

---

Most stable pick: x. Distance to second place: 35.9 kJ/mol of atoms.